[1]
# ScInAg

A crystal of ScInAg relaxed with PBEsol (meta-GGA SCAN, Alexandria).

Output
**Fermi-level density of states**: 0.74 states/eV/atom
**DFT formation energy**: -0.24 eV/atom
**Space group**: No. 44

a = 5.1290 Å, b = 5.1290 Å, c = 5.1290 Å
α = 144.78°, β = 129.03°, γ = 63.47°
Atoms (fractional coordinates):
Sc (0.0000, 0.0000, 0.0000)
In (0.3363, 0.3363, 0.0000)
Ag (0.6681, 0.6681, 0.0000)

[2]
# ScIn2Ag

A crystal of ScIn2Ag relaxed with PBEsol (meta-GGA SCAN, Alexandria).

Output
**Fermi-level density of states**: 0.36 states/eV/atom
**DFT formation energy**: -0.30 eV/atom
**Space group**: No. 123

a = 3.2355 Å, b = 3.2355 Å, c = 7.7545 Å
α = 90.00°, β = 90.00°, γ = 90.00°
Atoms (fractional coordinates):
Sc (0.0000, 0.0000, 0.0000)
In (0.5000, 0.5000, 0.2645)
In (0.5000, 0.5000, 0.7355)
Ag (0.0000, 0.0000, 0.5000)

[3]
# ScIn2Ag

A crystal of ScIn2Ag relaxed with PBEsol (meta-GGA SCAN, Alexandria).

Output
**Fermi-level density of states**: 0.54 states/eV/atom
**DFT formation energy**: -0.28 eV/atom
**Space group**: No. 119

a = 5.3507 Å, b = 5.3507 Å, c = 5.3507 Å
α = 132.30°, β = 132.30°, γ = 69.75°
Atoms (fractional coordinates):
Sc (0.0000, 0.0000, 0.0000)
In (0.2500, 0.7500, 0.5000)
In (0.5000, 0.5000, 0.0000)
Ag (0.7500, 0.2500, 0.5000)

[4]
# Sc2InAg

A crystal of Sc2InAg relaxed with PBEsol (meta-GGA SCAN, Alexandria).

Output
**Fermi-level density of states**: 0.71 states/eV/atom
**DFT formation energy**: -0.37 eV/atom
**Space group**: No. 44

a = 5.8756 Å, b = 5.8756 Å, c = 5.8756 Å
α = 146.67°, β = 131.35°, γ = 60.26°
Atoms (fractional coordinates):
Sc (0.0000, 0.0000, 0.0000)
Sc (0.7282, 0.2282, 0.5000)
In (0.2691, 0.7691, 0.5000)
Ag (0.4917, 0.4917, 0.0000)

[5]
# Sc2InAg

A crystal of Sc2InAg relaxed with PBEsol (meta-GGA SCAN, Alexandria).

Output
**Fermi-level density of states**: 0.66 states/eV/atom
**DFT formation energy**: -0.49 eV/atom
**Space group**: No. 123

a = 4.8620 Å, b = 4.8620 Å, c = 3.4718 Å
α = 90.00°, β = 90.00°, γ = 90.00°
Atoms (fractional coordinates):
Sc (0.0000, 0.5000, 0.0000)
Sc (0.5000, 0.0000, 0.0000)
In (0.0000, 0.0000, 0.5000)
Ag (0.5000, 0.5000, 0.5000)

[6]
# ScInAgW2

A crystal of ScInAgW2 relaxed with PBEsol (meta-GGA SCAN, Alexandria).

Output
**Fermi-level density of states**: 1.61 states/eV/atom
**DFT formation energy**: 2.33 eV/atom
**Space group**: No. 123

a = 4.8835 Å, b = 4.8835 Å, c = 5.0118 Å
α = 90.00°, β = 90.00°, γ = 90.00°
Atoms (fractional coordinates):
Sc (0.0000, 0.0000, 0.0000)
In (0.0000, 0.0000, 0.5000)
Ag (0.5000, 0.5000, 0.0000)
W (0.0000, 0.5000, 0.5000)
W (0.5000, 0.0000, 0.5000)

[7]
# InAgSe

A crystal of InAgSe relaxed with PBEsol (meta-GGA SCAN, Alexandria).

Output
**Uncorrected formation energy**: 0.014 eV per atom
**Fermi-level density of states**: 0.35 states/eV/atom
**Space group**: No. 107

a = 5.1167 Å, b = 5.1167 Å, c = 5.1167 Å
α = 136.10°, β = 136.10°, γ = 63.83°
Atoms (fractional coordinates):
In (0.0000, 0.0000, 0.0000)
Ag (0.6644, 0.6644, 0.0000)
Se (0.3408, 0.3408, 0.0000)

[8]
# InAgSnSe4

A crystal of InAgSnSe4 relaxed with PBEsol (meta-GGA SCAN, Alexandria).

Output
**Uncorrected formation energy**: -0.417 eV per atom
**Space group**: No. 82

a = 6.9787 Å, b = 6.9787 Å, c = 6.9787 Å
α = 131.07°, β = 131.07°, γ = 71.70°
Atoms (fractional coordinates):
In (0.0000, 0.0000, 0.0000)
Ag (0.2500, 0.7500, 0.5000)
Sn (0.7500, 0.2500, 0.5000)
Se (0.1654, 0.1734, 0.5612)
Se (0.3958, 0.8346, 0.0080)
Se (0.6122, 0.6042, 0.4388)
Se (0.8266, 0.3878, 0.9920)

no.,total magnetic moment (μB/f.u.)
1,0.003
2,0.559
3,0.000
4,0.843
5,0.000
6,0.005
7,0.000
8,0.000